Hf2AgPd6: relaxed, PBE.

Calculated values
- Formation energy: -0.371 eV per atom

Structure (CIF):
```
data_Hf2AgPd6
_chemical_formula_sum 'Hf4 Ag2 Pd12'
_space_group_name_H-M_alt 'C 1 2/m 1'
_space_group_IT_number 12
_cell_length_a 14.2540
_cell_length_b 7.6504
_cell_length_c 2.9556
_cell_angle_alpha 90.00
_cell_angle_beta 101.17
_cell_angle_gamma 90.00
loop_
_space_group_symop_operation_xyz
'x,y,z'
'-x,-y,-z'
'-x,y,-z'
'x,-y,z'
'x+1/2,y+1/2,z'
'-x+1/2,-y+1/2,-z'
'-x+1/2,y+1/2,-z'
'x+1/2,-y+1/2,z'
loop_
_atom_site_label
_atom_site_type_symbol
_atom_site_fract_x
_atom_site_fract_y
_atom_site_fract_z
Hf1 Hf 0.1644 0.0000 0.1643
Ag1 Ag 0.0000 0.5000 0.5000
Pd1 Pd 0.0000 0.1860 0.0000
Pd2 Pd 0.1678 0.3064 0.6678
```